DFT (PBE) results for SnIr2F after structural relaxation.

```
SnIr2F
1.0
3.585 0.000 0.000
0.000 3.585 0.000
1.793 1.793 10.880
Ir Sn F
4 2 2
Cartesian
2.684 0.896 2.720
0.901 2.689 2.720
2.689 2.694 8.160
4.481 4.477 8.160
0.000 0.000 0.000
3.585 1.793 5.440
1.793 1.793 0.000
1.793 3.585 5.440
```

Computed properties:
volume = 17.5 A^3/atom
ρ = 12.4 g/cm³
space-group type = I-42d (122)
VASP energy = -47.372 eV for the cell shown
offset from the most stable computed form = 0 meV per atom


DFT (PBE) results for CaMg2WN4 after structural relaxation.

```
CaMg2WN4
1.0
5.398 0.000 0.000
0.000 5.904 0.000
0.000 0.000 7.222
Ca Mg W N
2 4 2 8
Cartesian
5.269 0.984 3.611
2.570 4.920 0.000
2.657 1.956 1.828
2.657 1.956 5.394
5.356 3.948 5.439
5.356 3.948 1.783
2.702 4.805 3.611
0.003 1.099 0.000
1.873 1.268 0.000
4.572 4.636 3.611
2.336 0.780 3.611
5.034 5.124 0.000
2.049 3.948 5.152
4.747 1.956 1.541
4.747 1.956 5.681
2.049 3.948 2.070
```

Computed properties:
volume = 14.4 A^3/atom
ρ = 4.7 g/cm³
space-group type = Pmn2_1 (31)
VASP energy = -118.244 eV for the cell shown


- The highest VASP energy belongs to which entry?
  SnIr2F


Copy entry 2 word for word.
DFT (PBE) results for CaMg2WN4 after structural relaxation.

```
CaMg2WN4
1.0
5.398 0.000 0.000
0.000 5.904 0.000
0.000 0.000 7.222
Ca Mg W N
2 4 2 8
Cartesian
5.269 0.984 3.611
2.570 4.920 0.000
2.657 1.956 1.828
2.657 1.956 5.394
5.356 3.948 5.439
5.356 3.948 1.783
2.702 4.805 3.611
0.003 1.099 0.000
1.873 1.268 0.000
4.572 4.636 3.611
2.336 0.780 3.611
5.034 5.124 0.000
2.049 3.948 5.152
4.747 1.956 1.541
4.747 1.956 5.681
2.049 3.948 2.070
```

Computed properties:
volume = 14.4 A^3/atom
ρ = 4.7 g/cm³
space-group type = Pmn2_1 (31)
VASP energy = -118.244 eV for the cell shown